Record 1
Entry from the Alexandria database: NpRhS4 after structural relaxation (PBE).

Cell: 6.093 6.101 6.418 Å, 90.00 98.90 90.00°
Site moments in Bohr magnetons follow the coordinates.
Element x y z (fractional)
S 0.265 0.295 0.320  -0.10
S 0.374 0.830 0.189  -0.15
S 0.626 0.170 0.811  -0.15
S 0.235 0.795 0.680  -0.10
S 0.126 0.330 0.811  -0.15
S 0.765 0.205 0.320  -0.10
S 0.874 0.670 0.189  -0.15
S 0.735 0.705 0.680  -0.10
Np 0.500 0.500 0.000  2.76
Np 0.000 0.000 0.000  2.76
Rh 0.500 0.000 0.500  -0.11
Rh 0.000 0.500 0.500  -0.11

Values from the calculation:
Crystal system: monoclinic
M_tot in μB per cell: 4.09
Formation energy without anion corrections in kJ per mole of atoms: -65
Final energy in eV per cell: -81.65

---

Record 2
Entry from the Alexandria database: Tm4AlTe after structural relaxation (PBE).

Cell: 5.784 7.497 8.682 Å, 90.00 90.00 104.76°
Element x y z (fractional)
Tm 0.019 0.741 0.443
Tm 0.981 0.259 0.943
Tm 0.588 0.487 0.750
Tm 0.019 0.741 0.057
Tm 0.412 0.513 0.250
Tm 0.981 0.259 0.557
Tm 0.570 0.004 0.250
Tm 0.430 0.996 0.750
Te 0.895 0.902 0.750
Te 0.105 0.098 0.250
Al 0.130 0.587 0.750
Al 0.870 0.413 0.250

Values from the calculation:
Crystal system: monoclinic
M_tot in μB per cell: 0.00
Formation energy without anion corrections in kJ per mole of atoms: -23
Final energy in eV per cell: -52.44

---

Record 3
Entry from the Alexandria database: ZrTcSe2 after structural relaxation (PBE).

Cell: 4.711 4.711 4.711 Å, 60.00 60.00 60.00°
Site moments in Bohr magnetons follow the coordinates.
Element x y z (fractional)
Se 0.000 0.000 0.000  0.08
Se 0.250 0.250 0.250  0.01
Tc 0.500 0.500 0.500  0.84
Zr 0.750 0.750 0.750  -0.05

Values from the calculation:
Crystal system: cubic
M_tot in μB per cell: 0.96
Formation energy without anion corrections in kJ per mole of atoms: 13
Final energy in eV per cell: -25.36

---

Record 4
Entry from the Alexandria database: PaBi2Rh after structural relaxation (PBE).

Cell: 4.234 4.765 4.765 Å, 90.00 90.00 90.00°
Element x y z (fractional)
Bi 0.000 0.500 0.000
Bi 0.000 0.000 0.500
Rh 0.500 0.500 0.500
Pa 0.500 0.000 0.000

Values from the calculation:
Crystal system: tetragonal
M_tot in μB per cell: 0.00
Energy of formation in eV per atom: -0.134
Final energy in eV per cell: -25.14

---

Record 5
Entry from the Alexandria database: MnTeAu2 after structural relaxation (PBE).

Cell: 3.090 3.090 8.682 Å, 90.00 90.00 90.01°
Site moments in Bohr magnetons follow the coordinates.
Element x y z (fractional)
Te 0.500 0.500 0.750  -0.01
Au 0.000 0.000 0.054  0.05
Au 0.000 0.000 0.446  0.05
Mn 0.500 0.500 0.250  3.95

Values from the calculation:
Crystal system: tetragonal
M_tot in μB per cell: 4.25
Formation energy without anion corrections in kJ per mole of atoms: 9
Final energy in eV per cell: -18.49

---

Record 6
Entry from the Alexandria database: KSbS2 after structural relaxation (PBE).

Cell: 6.397 6.451 11.975 Å, 96.97 90.00 90.00°
Element x y z (fractional)
S 0.225 0.578 0.856
S 0.225 0.922 0.644
S 0.775 0.422 0.144
S 0.820 0.016 0.886
S 0.820 0.484 0.614
S 0.775 0.078 0.356
S 0.180 0.516 0.386
S 0.180 0.984 0.114
Sb 0.200 0.962 0.878
Sb 0.200 0.538 0.622
Sb 0.800 0.038 0.122
Sb 0.800 0.462 0.378
K 0.265 0.485 0.121
K 0.735 0.515 0.879
K 0.735 0.985 0.621
K 0.265 0.015 0.379

Values from the calculation:
Crystal system: monoclinic
M_tot in μB per cell: 0.00
Formation energy without anion corrections in kJ per mole of atoms: -71
Final energy in eV per cell: -65.71

---

Record 7
Entry from the Alexandria database: CaFeBr2 after structural relaxation (PBE).

Cell: 10.746 10.746 10.746 Å, 21.62 21.62 21.62°
Site moments in Bohr magnetons follow the coordinates.
Element x y z (fractional)
Br 0.530 0.530 0.530  0.00
Br 0.970 0.970 0.970  0.00
Ca 0.250 0.250 0.250  0.00
Fe 0.750 0.750 0.750  3.47

Values from the calculation:
Crystal system: trigonal
M_tot in μB per cell: 3.89
Formation energy without anion corrections in kJ per mole of atoms: -42
Final energy in eV per cell: -15.55

---

Record 8
Entry from the Alexandria database: La2DyTl after structural relaxation (PBE).

Cell: 5.162 4.916 4.916 Å, 90.00 90.00 90.00°
Element x y z (fractional)
Dy 0.500 0.000 0.000
Tl 0.500 0.500 0.500
La 0.000 0.500 0.000
La 0.000 0.000 0.500

Values from the calculation:
Crystal system: tetragonal
M_tot in μB per cell: 0.00
Energy of formation in eV per atom: -0.210
Final energy in eV per cell: -17.66